! AcCeIrPt | Alexandria via LeMat-Bulk | PBE | optimized geometry; values from VASP
&SYSTEM
  ibrav = 0, nat = 4, ntyp = 4
/
ATOMIC_SPECIES
Ac 227.00 Ac.upf
Pt 195.08 Pt.upf
Ir 192.22 Ir.upf
Ce 140.12 Ce.upf
CELL_PARAMETERS angstrom
-3.125 1.596 3.776
-4.862 1.336 -1.070
-3.897 -2.992 1.557
ATOMIC_POSITIONS angstrom
Ac -8.913 -0.045 3.197
Pt 0.000 0.000 0.000
Ir -5.942 -0.030 2.131
Ce -2.971 -0.015 1.066
! Total moment: 1.02 μB/f.u.
! DFT formation energy: -731 meV/atom

=====

! Ac2CeSb3Ir4 | Alexandria via LeMat-Bulk | PBE | optimized geometry; values from VASP
&SYSTEM
  ibrav = 0, nat = 10, ntyp = 4
/
ATOMIC_SPECIES
Ir 192.22 Ir.upf
Sb 121.76 Sb.upf
Ac 227.00 Ac.upf
Ce 140.12 Ce.upf
CELL_PARAMETERS angstrom
-2.878 3.465 0.735
-2.112 -0.918 -3.941
-7.089 -7.042 5.441
ATOMIC_POSITIONS angstrom
Ir -3.602 -2.988 -0.017
Ir -2.495 1.274 -1.603
Sb -3.544 -3.521 2.720
Sb -7.632 -4.419 5.121
Ac -6.517 -5.884 2.221
Ce -6.040 -2.248 1.118
Ir -5.983 -2.781 3.855
Ir 0.000 0.000 0.000
Sb -1.952 -1.349 -1.283
Ac -3.067 0.115 1.617
! Raw formation energy: -15.733 kcal/mol of atoms
! Total moment: 1.04 μB/f.u.